1.
Compound: Cu2TcOs
Source: Alexandria
Functional: PBE
Structure: optimized geometry

Values from the calculation:
* E: -7.033 eV per atom
* relative energy among the computed polymorphs: 0.277 eV per atom
* energy relative to the elements: 414 meV/atom
* size of the total moment: 0.0 μB per cell

a = 2.5611 Å, b = 4.3276 Å, c = 5.0299 Å
α = 90.00°, β = 102.65°, γ = 90.00°
Fractional coordinates of all 4 atoms:
Cu 0.2366 0.0000 0.2503
Cu 0.7634 0.0000 0.7497
Tc 0.5000 0.5000 0.0000
Os 0.0000 0.5000 0.5000

***

2.
Compound: CuTcOs2
Source: Alexandria
Functional: PBE
Structure: optimized geometry

Values from the calculation:
* E: -9.002 eV per atom
* relative energy among the computed polymorphs: 0.055 eV per atom
* energy relative to the elements: 228 meV/atom
* size of the total moment: 0.0 μB per cell

a = 2.7273 Å, b = 3.8614 Å, c = 5.2778 Å
α = 90.00°, β = 90.10°, γ = 90.00°
Fractional coordinates of all 4 atoms:
Cu 0.0000 0.0000 0.0000
Tc 0.4983 0.5000 0.2423
Os 0.0007 0.0000 0.5025
Os 0.5018 0.5000 0.7581

***

3.
Compound: Cu2TcOs
Source: Alexandria
Functional: PBE
Structure: optimized geometry

Values from the calculation:
* E: -7.056 eV per atom
* relative energy among the computed polymorphs: 0.254 eV per atom
* energy relative to the elements: 391 meV/atom
* size of the total moment: 0.0 μB per cell

a = 3.6480 Å, b = 3.6480 Å, c = 4.0281 Å
α = 90.00°, β = 90.00°, γ = 90.00°
Fractional coordinates of all 4 atoms:
Cu 0.0000 0.5000 0.0000
Cu 0.5000 0.0000 0.0000
Tc 0.0000 0.0000 0.5000
Os 0.5000 0.5000 0.5000

***

4.
Compound: CuTcOs2
Source: Alexandria
Functional: PBE
Structure: optimized geometry

Values from the calculation:
* E: -8.989 eV per atom
* relative energy among the computed polymorphs: 0.068 eV per atom
* energy relative to the elements: 242 meV/atom
* size of the total moment: 0.0 μB per cell

a = 2.7277 Å, b = 2.7277 Å, c = 7.4881 Å
α = 90.00°, β = 90.00°, γ = 90.00°
Fractional coordinates of all 4 atoms:
Cu 0.0000 0.0000 0.0000
Tc 0.5000 0.5000 0.7542
Os 0.0000 0.0000 0.4931
Os 0.5000 0.5000 0.2452

***

5.
Compound: CuTcOs
Source: Alexandria
Functional: PBE
Structure: optimized geometry

Values from the calculation:
* E: -8.419 eV per atom
* relative energy among the computed polymorphs: 0.000 eV per atom
* energy relative to the elements: 145 meV/atom
* size of the total moment: 0.0 μB per cell

a = 4.6156 Å, b = 4.6156 Å, c = 4.6156 Å
α = 145.22°, β = 132.28°, γ = 60.39°
Fractional coordinates of all 3 atoms:
Cu 0.0000 0.0000 0.0000
Tc 0.6702 0.6702 0.0000
Os 0.3312 0.3312 0.0000

***

6.
Compound: Cu2TcOs
Source: Alexandria
Functional: PBE
Structure: optimized geometry

Values from the calculation:
* E: -7.255 eV per atom
* relative energy among the computed polymorphs: 0.055 eV per atom
* energy relative to the elements: 192 meV/atom
* size of the total moment: 0.0 μB per cell

a = 2.7801 Å, b = 2.7801 Å, c = 6.9705 Å
α = 90.00°, β = 90.00°, γ = 90.00°
Fractional coordinates of all 4 atoms:
Cu 0.0000 0.0000 0.0000
Cu 0.5000 0.5000 0.2233
Tc 0.5000 0.5000 0.7309
Os 0.0000 0.0000 0.4879

***

7.
Compound: Cu2TcOs
Source: Alexandria
Functional: PBE
Structure: optimized geometry

Values from the calculation:
* E: -7.108 eV per atom
* relative energy among the computed polymorphs: 0.202 eV per atom
* energy relative to the elements: 339 meV/atom
* size of the total moment: 0.0 μB per cell

a = 2.6319 Å, b = 2.6319 Å, c = 8.8532 Å
α = 90.00°, β = 90.00°, γ = 115.86°
Fractional coordinates of all 4 atoms:
Cu 0.0000 0.0000 0.0000
Cu 0.5000 0.5000 0.2333
Tc 0.0000 0.0000 0.4912
Os 0.5000 0.5000 0.7424

***

8.
Compound: Cu2TcOs
Source: Alexandria
Functional: PBE
Structure: optimized geometry

Values from the calculation:
* E: -7.109 eV per atom
* relative energy among the computed polymorphs: 0.202 eV per atom
* energy relative to the elements: 338 meV/atom
* size of the total moment: 0.0 μB per cell

a = 4.2421 Å, b = 4.2421 Å, c = 4.2421 Å
α = 60.00°, β = 60.00°, γ = 60.00°
Fractional coordinates of all 4 atoms:
Cu 0.0000 0.0000 0.0000
Cu 0.2500 0.2500 0.2500
Tc 0.7500 0.7500 0.7500
Os 0.5000 0.5000 0.5000

***

9.
Compound: CuTcOs
Source: Alexandria
Functional: PBE
Structure: optimized geometry

Values from the calculation:
* E: -8.407 eV per atom
* relative energy among the computed polymorphs: 0.012 eV per atom
* energy relative to the elements: 157 meV/atom
* size of the total moment: 0.0 μB per cell

a = 2.7200 Å, b = 2.7200 Å, c = 6.5828 Å
α = 90.00°, β = 90.00°, γ = 120.00°
Fractional coordinates of all 3 atoms:
Cu 0.0000 0.0000 0.0000
Tc 0.6667 0.3333 0.6573
Os 0.3333 0.6667 0.3402

***

10.
Compound: Cu2TcOs
Source: Alexandria
Functional: PBE
Structure: optimized geometry

Values from the calculation:
* E: -6.941 eV per atom
* relative energy among the computed polymorphs: 0.369 eV per atom
* energy relative to the elements: 506 meV/atom
* size of the total moment: 0.0 μB per cell

a = 4.2008 Å, b = 4.2008 Å, c = 2.9681 Å
α = 90.00°, β = 90.00°, γ = 90.00°
Fractional coordinates of all 4 atoms:
Cu 0.0000 0.5000 0.0000
Cu 0.5000 0.0000 0.0000
Tc 0.0000 0.0000 0.5000
Os 0.5000 0.5000 0.5000

***

11.
Compound: CuTcOs2
Source: Alexandria
Functional: PBE
Structure: optimized geometry

Values from the calculation:
* E: -8.858 eV per atom
* relative energy among the computed polymorphs: 0.199 eV per atom
* energy relative to the elements: 372 meV/atom
* size of the total moment: 0.0 μB per cell

a = 4.6594 Å, b = 4.6594 Å, c = 2.7334 Å
α = 90.00°, β = 90.00°, γ = 109.40°
Fractional coordinates of all 4 atoms:
Cu 0.0000 0.0000 0.0000
Tc 0.5000 0.5000 0.0000
Os 0.0000 0.5000 0.5000
Os 0.5000 0.0000 0.5000

***

12.
Compound: Cu2TcOs
Source: Alexandria
Functional: PBE
Structure: optimized geometry

Values from the calculation:
* E: -7.310 eV per atom
* relative energy among the computed polymorphs: 0.000 eV per atom
* energy relative to the elements: 137 meV/atom
* size of the total moment: 0.0 μB per cell

a = 8.6973 Å, b = 8.6973 Å, c = 8.6973 Å
α = 17.91°, β = 17.91°, γ = 17.91°
Fractional coordinates of all 4 atoms:
Cu 0.0000 0.0000 0.0000
Cu 0.2557 0.2557 0.2557
Tc 0.7535 0.7535 0.7535
Os 0.5025 0.5025 0.5025

***

13.
Compound: Cu2TcOs
Source: Alexandria
Functional: PBE
Structure: optimized geometry

Values from the calculation:
* E: -7.209 eV per atom
* relative energy among the computed polymorphs: 0.101 eV per atom
* energy relative to the elements: 238 meV/atom
* size of the total moment: 0.0 μB per cell

a = 4.5602 Å, b = 4.5602 Å, c = 4.5602 Å
α = 130.95°, β = 130.95°, γ = 71.90°
Fractional coordinates of all 4 atoms:
Cu 0.0000 0.0000 0.0000
Cu 0.7500 0.2500 0.5000
Tc 0.2500 0.7500 0.5000
Os 0.5000 0.5000 0.0000

***

14.
Compound: CuTc3Os
Source: Alexandria
Functional: PBE
Structure: optimized geometry

Values from the calculation:
* E: -7.452 eV per atom
* relative energy among the computed polymorphs: 0.000 eV per atom
* energy relative to the elements: 1833 meV/atom
* size of the total moment: 0.0 μB per cell

a = 4.3511 Å, b = 4.3511 Å, c = 4.3511 Å
α = 90.00°, β = 90.00°, γ = 90.00°
Fractional coordinates of all 5 atoms:
Cu 0.0000 0.0000 0.0000
Tc 0.0000 0.0000 0.5000
Tc 0.0000 0.5000 0.0000
Tc 0.5000 0.0000 0.0000
Os 0.5000 0.5000 0.5000

***

15.
Compound: CuTcOs2
Source: Alexandria
Functional: PBE
Structure: optimized geometry

Values from the calculation:
* E: -8.964 eV per atom
* relative energy among the computed polymorphs: 0.094 eV per atom
* energy relative to the elements: 267 meV/atom
* size of the total moment: 0.0 μB per cell

a = 4.7235 Å, b = 4.7235 Å, c = 4.6301 Å
α = 99.17°, β = 99.17°, γ = 33.42°
Fractional coordinates of all 4 atoms:
Cu 0.0000 0.0000 0.0000
Tc 0.7576 0.7576 0.2516
Os 0.2428 0.2428 0.7444
Os 0.5028 0.5028 0.5021

***

16.
Compound: CuTcOs2
Source: Alexandria
Functional: PBE
Structure: optimized geometry

Values from the calculation:
* E: -8.988 eV per atom
* relative energy among the computed polymorphs: 0.069 eV per atom
* energy relative to the elements: 242 meV/atom
* size of the total moment: 0.0 μB per cell

a = 2.7226 Å, b = 3.8426 Å, c = 5.3216 Å
α = 90.00°, β = 90.17°, γ = 90.00°
Fractional coordinates of all 4 atoms:
Cu 0.0000 0.0000 0.0000
Tc 0.0000 0.0000 0.5000
Os 0.4973 0.5000 0.2441
Os 0.5027 0.5000 0.7559

***

17.
Compound: CuTcOs2
Source: Alexandria
Functional: PBE
Structure: optimized geometry

Values from the calculation:
* E: -8.973 eV per atom
* relative energy among the computed polymorphs: 0.085 eV per atom
* energy relative to the elements: 258 meV/atom
* size of the total moment: 0.0 μB per cell

a = 2.7352 Å, b = 2.7352 Å, c = 7.4381 Å
α = 90.00°, β = 90.00°, γ = 90.00°
Fractional coordinates of all 4 atoms:
Cu 0.0000 0.0000 0.0000
Tc 0.0000 0.0000 0.5000
Os 0.5000 0.5000 0.2459
Os 0.5000 0.5000 0.7541

***

18.
Compound: Cu2TcOs
Source: Alexandria
Functional: PBE
Structure: optimized geometry

Values from the calculation:
* E: -7.256 eV per atom
* relative energy among the computed polymorphs: 0.054 eV per atom
* energy relative to the elements: 191 meV/atom
* size of the total moment: 0.0 μB per cell

a = 2.7354 Å, b = 3.7367 Å, c = 5.2788 Å
α = 90.00°, β = 90.39°, γ = 90.00°
Fractional coordinates of all 4 atoms:
Cu 0.0000 0.0000 0.0000
Cu 0.4998 0.5000 0.2164
Tc 0.4998 0.5000 0.7183
Os 0.9995 0.0000 0.4960

***

19.
Compound: CuTcOs
Source: Alexandria
Functional: PBE
Structure: optimized geometry

Values from the calculation:
* E: -8.344 eV per atom
* relative energy among the computed polymorphs: 0.074 eV per atom
* energy relative to the elements: 220 meV/atom
* size of the total moment: 0.0 μB per cell

a = 5.6298 Å, b = 5.6298 Å, c = 5.6298 Å
α = 151.06°, β = 151.06°, γ = 41.39°
Fractional coordinates of all 3 atoms:
Cu 0.0000 0.0000 0.0000
Tc 0.6725 0.6725 0.0000
Os 0.3305 0.3305 0.0000

***

20.
Compound: CuTcOs2
Source: Alexandria
Functional: PBE
Structure: optimized geometry

Values from the calculation:
* E: -8.292 eV per atom
* relative energy among the computed polymorphs: 0.765 eV per atom
* energy relative to the elements: 938 meV/atom
* size of the total moment: 0.0 μB per cell

a = 5.6709 Å, b = 5.6709 Å, c = 5.6709 Å
α = 101.63°, β = 101.63°, γ = 126.64°
Fractional coordinates of all 8 atoms:
Cu 0.0000 0.0000 0.0000
Cu 0.7500 0.2500 0.5000
Tc 0.2500 0.7500 0.5000
Tc 0.5000 0.5000 0.0000
Os 0.1704 0.6250 0.0454
Os 0.3750 0.4204 0.5454
Os 0.5796 0.1250 0.9546
Os 0.8750 0.8296 0.4546